No. 1
A geometry-optimized PaCo4B2 structure, computed with PBE.

Lattice parameters (Å, degrees): 3.597 3.597 6.267 106.68 90.00 90.00
Fractional coordinates of all 7 atoms:
Co: 0.500 0.822 0.643
Co: 0.000 0.676 0.352
Co: 0.500 0.178 0.357
Pa: 0.000 0.000 0.000
Co: 0.000 0.324 0.648
B: 0.500 0.411 0.821
B: 0.500 0.589 0.179

Output
Its space-group type is Cmmm (65). Its formation energy is -380 meV per atom. Its energy above the lowest structure with this stoichiometry is 4 meV per atom. As for the energy: -7.705 eV/atom.

***

No. 2
A geometry-optimized Cs2Sc2Bi2As structure, computed with PBE.

Lattice parameters (Å, degrees): 5.189 5.189 10.487 104.32 104.32 90.00
Fractional coordinates of all 7 atoms:
Bi: 0.596 0.596 0.193
Cs: 0.179 0.179 0.359
As: 0.000 0.000 0.000
Cs: 0.821 0.821 0.641
Bi: 0.404 0.404 0.807
Sc: 0.500 0.000 0.000
Sc: 0.000 0.500 0.000

Output
Its space-group type is I4/mmm (139). Its formation energy is -711 meV per atom. As for the energy: -4.537 eV/atom.

***

No. 3
A geometry-optimized LiOsI2O structure, computed with PBE.

Lattice parameters (Å, degrees): 5.646 5.646 3.773 90.00 90.00 90.00
Each line ends with the local moment (μB).
Fractional coordinates of all 5 atoms:
O: 0.000 0.000 0.500  0.03
I: 0.000 0.500 0.000  0.00
I: 0.500 0.000 0.000  0.00
Os: 0.000 0.000 0.000  0.14
Li: 0.500 0.500 0.500  0.00

Output
Its space-group type is P4/mmm (123). Its uncorrected formation energy is -0.3364 eV/atom. Its energy above the lowest structure with this stoichiometry is 0 meV per atom. As for the energy: -4.577 eV/atom.

***

No. 4
A geometry-optimized PbAuO2 structure, computed with PBE.

Lattice parameters (Å, degrees): 3.753 3.753 12.482 90.00 90.00 120.00
Fractional coordinates of all 8 atoms:
O: 0.333 0.667 0.089
Au: 0.333 0.667 0.250
Pb: 0.000 0.000 0.000
Pb: 0.000 0.000 0.500
O: 0.333 0.667 0.411
O: 0.667 0.333 0.911
Au: 0.667 0.333 0.750
O: 0.667 0.333 0.589

Output
Its space-group type is P6_3/mmc (194). Its uncorrected formation energy is -0.5978 eV/atom. As for the energy: -4.823 eV/atom.

***

No. 5
A geometry-optimized MoAs2W structure, computed with PBE.

Lattice parameters (Å, degrees): 3.179 5.094 4.054 90.00 90.00 90.00
Fractional coordinates of all 4 atoms:
W: 0.000 0.500 0.500
Mo: 0.500 0.000 0.500
As: 0.000 0.000 0.000
As: 0.500 0.500 0.000

Output
Its space-group type is Pmmm (47). Its formation energy is 469 meV per atom. Its energy above the lowest structure with this stoichiometry is 493 meV per atom. As for the energy: -7.802 eV/atom.

***

No. 6
A geometry-optimized TbBiPdPt structure, computed with PBE.

Lattice parameters (Å, degrees): 4.930 4.930 4.930 60.00 60.00 60.00
Fractional coordinates of all 4 atoms:
Pt: 0.750 0.750 0.750
Tb: 0.500 0.500 0.500
Bi: 0.000 0.000 0.000
Pd: 0.250 0.250 0.250

Output
Its space-group type is F-43m (216). Its formation energy is -750 meV per atom. As for the energy: -5.686 eV/atom.

***

no.,Fermi-level density of states (states/eV/f.u.)
1,5.384
2,2.942
3,3.115
4,1.401
5,2.665
6,2.640